# 1
GdMgGa | PBE-GGA | optimized geometry

```
GdMgGa
1.0
7.328 0.000 0.000
-3.664 6.346 0.000
0.000 0.000 4.464
Gd Ga Mg
3 3 3
Direct
0.576 0.000 0.000
0.424 0.424 0.000
0.000 0.576 0.000
0.667 0.333 0.500
0.333 0.667 0.500
0.000 0.000 0.000
0.000 0.243 0.500
0.757 0.757 0.500
0.243 0.000 0.500
```

Results
N(E_F)   1.4 states/eV/f.u.
Space-group type   No. 189
ΔH_f (0 K)   -11.511 kcal/mol of atoms
Volume   207.6 Å³ per cell
Theoretical density   6.03 g/cm³

# 2
GdMgGa2 | PBE-GGA | optimized geometry

```
GdMgGa2
1.0
4.933 0.000 0.000
2.466 4.272 0.000
2.466 1.424 4.028
Mg Gd Ga
1 1 2
Direct
0.500 0.500 0.500
0.000 0.000 0.000
0.750 0.750 0.750
0.250 0.250 0.250
```

Results
N(E_F)   2.7 states/eV/f.u.
Space-group type   No. 225
ΔH_f (0 K)   -9.617 kcal/mol of atoms
Volume   84.9 Å³ per cell
Theoretical density   6.28 g/cm³

# 3
GdMgGa | PBE-GGA | optimized geometry

```
GdMgGa
1.0
3.581 0.000 0.000
0.000 4.736 0.000
0.000 -2.368 4.102
Mg Ga Gd
1 1 1
Direct
0.167 0.667 0.333
0.167 0.000 0.000
0.667 0.333 0.667
```

Results
N(E_F)   2.2 states/eV/f.u.
Space-group type   No. 187
ΔH_f (0 K)   -9.061 kcal/mol of atoms
Volume   69.6 Å³ per cell
Theoretical density   6.00 g/cm³